First-principles (PBE) data for a relaxed TbBeZn11 crystal, as listed in Alexandria.

Volume in Å³/atom: 15.19
SG: C2/m
Electronic total energy in eV per cell: -24.46
E_form in eV per atom: -0.16

a b c (Å): 5.1957 6.6622 6.6905
angles (deg): 81.53 67.15 67.71
Fractional positions:
Tb: 0.0000 0.0000 0.0000
Be: 0.5000 0.5000 0.0000
Zn: 0.2925 0.2230 0.2135
Zn: 0.7075 0.7770 0.7865
Zn: 0.4940 0.7770 0.2135
Zn: 0.5060 0.2230 0.7865
Zn: 0.3629 0.6428 0.6536
Zn: 0.6371 0.3572 0.3464
Zn: 0.9835 0.3572 0.6536
Zn: 0.0165 0.6428 0.3464
Zn: 0.0000 0.5000 0.0000
Zn: 0.5000 0.0000 0.5000
Zn: 0.0000 0.0000 0.5000

***

First-principles (PBE) data for a relaxed LaTm2S crystal, as listed in Alexandria.

Volume in Å³/atom: 28.79
SG: R-3m
Electronic total energy in eV per cell: -21.06
ΔE_f (raw) in eV per atom: -0.765

a b c (Å): 3.6119 3.6119 10.4056
angles (deg): 80.01 80.01 60.00
Fractional positions:
S: 0.5000 0.5000 0.5000
Tm: 0.1132 0.1132 0.6603
Tm: 0.8868 0.8868 0.3397
La: 0.0000 0.0000 0.0000

***

First-principles (PBE) data for a relaxed Pm4Sn3O crystal, as listed in Alexandria.

Volume in Å³/atom: 29.84
SG: Pmn2_1
Electronic total energy in eV per cell: -88.85
ΔE_f (raw) in eV per atom: -1.057

a b c (Å): 6.3058 6.2976 12.0229
angles (deg): 90.00 90.00 90.00
Fractional positions:
Pm: 0.0617 0.8264 0.0000
Pm: 0.6425 0.2357 0.0000
Pm: 0.0662 0.2553 0.2186
Pm: 0.5662 0.7447 0.2814
Pm: 0.1425 0.7643 0.5000
Pm: 0.5617 0.1736 0.5000
Pm: 0.5662 0.7447 0.7186
Pm: 0.0662 0.2553 0.7814
Sn: 0.5593 0.7337 0.0000
Sn: 0.0608 0.7525 0.2507
Sn: 0.5608 0.2475 0.2493
Sn: 0.0593 0.2663 0.5000
Sn: 0.5608 0.2475 0.7507
Sn: 0.0608 0.7525 0.7493
O: 0.9977 0.1801 0.0000
O: 0.4977 0.8199 0.5000

***

First-principles (PBE) data for a relaxed NdHo2Er7 crystal, as listed in Alexandria.

Volume in Å³/atom: 30.94
Distance to the lowest polymorph of the same formula in eV per atom: 0.000
SG: P-1
Electronic total energy in eV per cell: -45.66
E_form in eV per atom: 0.02

a b c (Å): 6.0989 10.5660 11.1352
angles (deg): 137.55 123.22 39.75
Fractional positions:
Nd: 0.0000 0.0000 0.0000
Ho: 0.5984 0.6015 0.4008
Ho: 0.4016 0.3985 0.5992
Er: 0.8987 0.9003 0.5994
Er: 0.1013 0.0997 0.4006
Er: 0.7003 0.6987 0.7990
Er: 0.2997 0.3013 0.2010
Er: 0.8021 0.7998 0.2011
Er: 0.1979 0.2002 0.7989
Er: 0.5000 0.5000 0.0000

***

First-principles (PBE) data for a relaxed TaZnRe2 crystal, as listed in Alexandria.

Volume in Å³/atom: 15.83
SG: P4mm
Electronic total energy in eV per cell: -37.66
E_form in eV per atom: 0.09

a b c (Å): 2.9415 2.9415 7.3190
angles (deg): 90.00 90.00 90.00
Fractional positions:
Re: 0.0000 0.0000 0.0107
Re: 0.5000 0.5000 0.2193
Ta: 0.0000 0.0000 0.5055
Zn: 0.5000 0.5000 0.7645

***

First-principles (PBE) data for a relaxed NdSmHo crystal, as listed in Alexandria.

Volume in Å³/atom: 33.35
Distance to the lowest polymorph of the same formula in eV per atom: 0.000
SG: I4mm
Electronic total energy in eV per cell: -14.00
E_form in eV per atom: 0.02

a b c (Å): 3.6163 3.6163 8.0662
angles (deg): 102.95 102.95 90.00
Fractional positions:
Nd: 0.3320 0.3320 0.6640
Ho: 0.6660 0.6660 0.3320
Sm: 0.0020 0.0020 0.0041

***

First-principles (PBE) data for a relaxed BaFe2Cl crystal, as listed in Alexandria.

Volume in Å³/atom: 25.31
Distance to the lowest polymorph of the same formula in eV per atom: 0.279
SG: C2/m
Electronic total energy in eV per cell: -19.68
ΔE_f (raw) in eV per atom: 0.254

a b c (Å): 6.8498 6.8498 3.6659
angles (deg): 74.66 74.66 130.54
Each line ends with the local moment (μB).
Fractional positions:
Cl: 0.0000 0.5000 0.5000  0.02
Ba: 0.5000 0.0000 0.5000  -0.09
Fe: 0.0000 0.0000 0.0000  3.03
Fe: 0.5000 0.5000 0.0000  3.03

***

First-principles (PBE) data for a relaxed Ce2NiRu crystal, as listed in Alexandria.

Volume in Å³/atom: 18.89
SG: R-3m
Electronic total energy in eV per cell: -26.17
E_form in eV per atom: 0.19

a b c (Å): 3.0127 3.0127 9.7700
angles (deg): 81.13 81.13 60.00
Fractional positions:
Ru: 0.5000 0.5000 0.5000
Ce: 0.0860 0.0860 0.7419
Ce: 0.9140 0.9140 0.2581
Ni: 0.0000 0.0000 0.0000

***

- Among the records above, which one has the highest electronic total energy?
  NdSmHo

***

- Among the records above, which one has the lowest volume?
  TbBeZn11

***

- electronic total energy of number 5 (TaZnRe2)?
  -37.66 eV per cell